*A*
The following is a DFT calculation (PBE) of a relaxed structure of SnSbAs2.

- Total magnetic moment: 0.000 μB per formula unit
- Crystal system: trigonal
- V: 106.8 Å³/cell

abc: 3.9986 3.9986 8.0539
angles: 75.63 75.63 60.00
Last column: nearest neighbours and their distance in Å.
Element x y z (fractional)
Sn: 0.4859 0.4859 0.5424  3 As 2.74
As: 0.2632 0.2632 0.2104  3 Sb 2.76
As: 0.0888 0.0888 0.7337  3 Sn 2.74
Sb: 0.6622 0.6622 0.0135  3 As 2.76

*B*
The following is a DFT calculation (PBE) of a relaxed structure of SnSbAs2.

- Total magnetic moment: 0.000 μB per formula unit
- Crystal system: orthorhombic
- V: 443.6 Å³/cell

abc: 7.9022 6.9459 8.0818
angles: 90.00 90.00 90.00
Last column: nearest neighbours and their distance in Å.
Element x y z (fractional)
Sn: 0.9724 0.3079 0.8798  3 As 2.74-2.82
Sn: 0.4724 0.6921 0.1202  3 As 2.74-2.82
Sn: 0.4724 0.1921 0.3797  3 As 2.74-2.82
Sn: 0.9724 0.8079 0.6202  3 As 2.74-2.82
As: 0.1573 0.1304 0.1353  2 Sb 2.70-2.71, 1 Sn 2.81
As: 0.6524 0.8551 0.3877  1 Sb 2.69, 2 Sn 2.74-2.82
As: 0.1573 0.6304 0.3647  2 Sb 2.70-2.71, 1 Sn 2.81
As: 0.1524 0.6449 0.8877  1 Sb 2.69, 2 Sn 2.74-2.82
As: 0.6524 0.3551 0.1123  1 Sb 2.69, 2 Sn 2.74-2.82
As: 0.6573 0.3696 0.6353  2 Sb 2.70-2.71, 1 Sn 2.81
As: 0.6573 0.8696 0.8647  2 Sb 2.70-2.71, 1 Sn 2.81
As: 0.1524 0.1449 0.6123  1 Sb 2.69, 2 Sn 2.74-2.82
Sb: 0.9678 0.8059 0.1312  3 As 2.69-2.71
Sb: 0.4678 0.6941 0.6312  3 As 2.69-2.71
Sb: 0.4678 0.1941 0.8688  3 As 2.69-2.71
Sb: 0.9678 0.3059 0.3688  3 As 2.69-2.71

*C*
The following is a DFT calculation (PBE) of a relaxed structure of SnSbAs2.

- Total magnetic moment: 0.000 μB per formula unit
- Crystal system: cubic
- V: 91.7 Å³/cell

abc: 5.0624 5.0624 5.0624
angles: 60.00 60.00 60.00
Last column: nearest neighbours and their distance in Å.
Element x y z (fractional)
As: 0.2500 0.2500 0.2500  4 Sn 3.10, 4 Sb 3.10
As: 0.7500 0.7500 0.7500  4 Sn 3.10, 4 Sb 3.10
Sn: 0.0000 0.0000 0.0000  8 As 3.10
Sb: 0.5000 0.5000 0.5000  8 As 3.10

Relative energy of each structure, in meV/atom: *A* 18; *B* 0; *C* 227.